Entry 1:
## HfSnGe2Te (SCAN)

Data for a PBEsol-optimized structure of HfSnGe2Te.

The space group is P4/mmm (No. 123) and the conventional cell measures 5.129, 5.129 and 5.532 Å, with angles of 90.00, 90.00 and 90.00 degrees. Symmetry generates all atoms from Hf at (0.000, 0.000, 0.000), Sn at (0.000, 0.000, 0.500), Ge at (0.000, 0.500, 0.000) and Te at (0.500, 0.500, 0.500).

The theoretical density comes out at 6.5 g/cm3. Its size of the total moment is 0.0 μB/cell. As for the total energy: -34.235 eV per atom. The value obtained for the density of states at the Fermi level is 3.73 states/eV/f.u.

Entry 2:
## SrHfGe3 (SCAN)

Data for a PBEsol-optimized structure of SrHfGe3.

The space group is Pm-3m (No. 221) and the conventional cell measures 5.151, 5.151 and 5.151 Å, with angles of 90.00, 90.00 and 90.00 degrees. Symmetry generates all atoms from Sr at (0.000, 0.000, 0.000), Hf at (0.500, 0.500, 0.500) and Ge at (0.000, 0.000, 0.500).

The theoretical density comes out at 5.9 g/cm3. Its size of the total moment is 0.0 μB/cell. As for the total energy: -26.914 eV per atom. The value obtained for the density of states at the Fermi level is 2.50 states/eV/f.u.

Entry 3:
## Hf2TcGe2 (SCAN)

Data for a PBEsol-optimized structure of Hf2TcGe2.

The space group is P4/mbm (No. 127) and the conventional cell measures 6.569, 6.569 and 3.869 Å, with angles of 90.00, 90.00 and 90.00 degrees. Symmetry generates all atoms from Hf at (0.171, 0.329, 0.000), Tc at (0.000, 0.000, 0.500) and Ge at (0.135, 0.635, 0.500).

The theoretical density comes out at 11.9 g/cm3. Its size of the total moment is 0.3 μB/cell. As for the total energy: -40.441 eV per atom. The value obtained for the density of states at the Fermi level is 2.51 states/eV/f.u.

Entry 4:
## HfGe3Te (SCAN)

Data for a PBEsol-optimized structure of HfGe3Te.

The space group is Pm-3m (No. 221) and the conventional cell measures 5.137, 5.137 and 5.137 Å, with angles of 90.00, 90.00 and 90.00 degrees. Symmetry generates all atoms from Hf at (0.000, 0.000, 0.000), Ge at (0.000, 0.000, 0.500) and Te at (0.500, 0.500, 0.500).

The theoretical density comes out at 6.4 g/cm3. Its size of the total moment is 0.0 μB/cell. As for the total energy: -30.822 eV per atom. The value obtained for the density of states at the Fermi level is 3.56 states/eV/f.u.

Entry 5:
## Hf2TiGe2 (SCAN)

Data for a PBEsol-optimized structure of Hf2TiGe2.

The space group is P4/mbm (No. 127) and the conventional cell measures 6.860, 6.860 and 3.715 Å, with angles of 90.00, 90.00 and 90.00 degrees. Symmetry generates all atoms from Hf at (0.171, 0.329, 0.000), Ti at (0.000, 0.000, 0.500) and Ge at (0.133, 0.633, 0.500).

The theoretical density comes out at 10.5 g/cm3. Its size of the total moment is 0.0 μB/cell. As for the total energy: -36.670 eV per atom. The value obtained for the density of states at the Fermi level is 4.73 states/eV/f.u.

Entry 6:
## Hf2V3Ge (SCAN)

Data for a PBEsol-optimized structure of Hf2V3Ge.

The space group is P6_3/mmc (No. 194) and the conventional cell measures 5.0922, 5.0922 and 8.4527 Å, with angles of 90.00, 90.00 and 120.00 degrees. Symmetry generates all atoms from Hf at (0.3333, 0.6667, 0.0612), V at (0.1778, 0.3557, 0.7500) and Ge at (0.0000, 0.0000, 0.0000).

The theoretical density comes out at 10.2 g/cm3. Its size of the total moment is 0.0 μB/cell. As for the total energy: -33.121 eV per atom. The value obtained for the density of states at the Fermi level is 7.02 states/eV/f.u.

Entry 7:
## YHfGe2 (SCAN)

Data for a PBEsol-optimized structure of YHfGe2.

The space group is Fm-3m (No. 225) and the conventional cell measures 6.827, 6.827 and 6.827 Å, with angles of 90.00, 90.00 and 90.00 degrees. Symmetry generates all atoms from Y at (0.000, 0.000, 0.000), Hf at (0.000, 0.000, 0.500) and Ge at (0.250, 0.250, 0.250).

The theoretical density comes out at 8.6 g/cm3. Its size of the total moment is 3.6 μB/cell. As for the total energy: -32.578 eV per atom. The value obtained for the density of states at the Fermi level is 4.47 states/eV/f.u.

Entry 8:
## Hf2ZnGe (SCAN)

Data for a PBEsol-optimized structure of Hf2ZnGe.

The space group is Fm-3m (No. 225) and the conventional cell measures 6.557, 6.557 and 6.557 Å, with angles of 90.00, 90.00 and 90.00 degrees. Symmetry generates all atoms from Hf at (0.250, 0.250, 0.250), Zn at (0.000, 0.000, 0.000) and Ge at (0.000, 0.000, 0.500).

The theoretical density comes out at 11.7 g/cm3. Its size of the total moment is 0.0 μB/cell. As for the total energy: -39.762 eV per atom. The value obtained for the density of states at the Fermi level is 4.17 states/eV/f.u.

Which of these has the highest size of the total moment?
YHfGe2

size of the total moment of number 5 (Hf2TiGe2)?
0.0 μB/cell

Which of these has the highest total energy?
SrHfGe3